No. 1
Material: Tl2Hg2Sb
Method: DFT, PBE-GGA
State: relaxed

Structure (POSCAR):
```
Tl2Hg2Sb
1.0
4.095 0.000 0.000
0.000 4.095 0.000
2.047 2.047 9.655
Tl Hg Sb
2 2 1
direct
0.593 0.593 0.813 Tl
0.407 0.407 0.187 Tl
0.250 0.750 0.500 Hg
0.750 0.250 0.500 Hg
0.000 0.000 0.000 Sb
```

Symmetry: I4/mmm (139)
Energy relative to the elements, uncorrected, kJ/mol of formula units: 37.8
Relative energy among the computed polymorphs, eV/atom: 0.0778

***

No. 2
Material: Tc3HPd
Method: DFT, PBE-GGA
State: relaxed

Structure (POSCAR):
```
Tc3HPd
1.0
3.927 0.000 0.000
0.000 3.927 0.000
0.000 0.000 3.927
Tc Pd H
3 1 1
direct
0.000 0.000 0.500 Tc
0.500 0.000 0.000 Tc
0.000 0.500 0.000 Tc
0.500 0.500 0.500 Pd
0.000 0.000 0.000 H
```

Symmetry: Pm-3m (221)
Relative energy among the computed polymorphs, eV/atom: 0.0000

***

No. 3
Material: Pr3Ir
Method: DFT, PBE-GGA
State: relaxed

Structure (POSCAR):
```
Pr3Ir
1.0
6.536 0.000 0.000
0.000 12.102 0.000
0.000 0.000 12.102
Pr Ir
24 8
direct
0.056 0.422 0.137 Pr
0.056 0.578 0.863 Pr
0.944 0.863 0.422 Pr
0.549 0.343 0.216 Pr
0.731 0.942 0.130 Pr
0.451 0.784 0.343 Pr
0.444 0.922 0.637 Pr
0.049 0.716 0.157 Pr
0.444 0.078 0.363 Pr
0.049 0.284 0.843 Pr
0.231 0.630 0.558 Pr
0.556 0.637 0.078 Pr
0.769 0.442 0.630 Pr
0.549 0.657 0.784 Pr
0.951 0.843 0.716 Pr
0.951 0.157 0.284 Pr
0.769 0.558 0.370 Pr
0.231 0.370 0.442 Pr
0.451 0.216 0.657 Pr
0.269 0.130 0.058 Pr
0.731 0.058 0.870 Pr
0.944 0.137 0.578 Pr
0.556 0.363 0.922 Pr
0.269 0.870 0.942 Pr
0.747 0.188 0.070 Ir
0.753 0.312 0.430 Ir
0.747 0.812 0.930 Ir
0.253 0.070 0.812 Ir
0.753 0.688 0.570 Ir
0.253 0.930 0.188 Ir
0.247 0.430 0.688 Ir
0.247 0.570 0.312 Ir
```

Symmetry: P4_2/n (86)

***

No. 4
Material: Cu2Hg3
Method: DFT, PBE-GGA
State: relaxed

Structure (POSCAR):
```
Cu2Hg3
1.0
-1.613 1.613 8.872
1.613 -1.613 8.872
1.613 1.613 -8.872
Cu Hg
2 3
direct
0.409 0.409 0.000 Cu
0.591 0.591 0.000 Cu
0.000 0.000 0.000 Hg
0.185 0.185 0.000 Hg
0.815 0.815 0.000 Hg
```

Symmetry: I4/mmm (139)
Relative energy among the computed polymorphs, eV/atom: 0.0503

***

No. 5
Material: HfMg4In5
Method: DFT, PBE-GGA
State: relaxed

Structure (POSCAR):
```
HfMg4In5
1.0
3.193 0.000 0.000
0.000 3.193 0.000
0.000 0.000 22.380
Hf Mg In
1 4 5
direct
0.000 0.000 0.000 Hf
0.000 0.000 0.400 Mg
0.000 0.000 0.600 Mg
0.000 0.000 0.801 Mg
0.000 0.000 0.199 Mg
0.500 0.500 0.299 In
0.500 0.500 0.701 In
0.500 0.500 0.500 In
0.500 0.500 0.098 In
0.500 0.500 0.902 In
```

Symmetry: P4/mmm (123)

***

No. 6
Material: Nd3Rh8Pb
Method: DFT, PBE-GGA
State: relaxed

Structure (POSCAR):
```
Nd3Rh8Pb
1.0
5.160 0.000 1.558
2.345 4.597 1.558
-0.023 -0.014 9.403
Nd Rh Pb
3 8 1
direct
0.376 0.376 0.872 Nd
0.503 0.503 0.490 Nd
0.996 0.996 0.011 Nd
0.438 0.937 0.688 Rh
0.687 0.687 0.938 Rh
0.437 0.939 0.187 Rh
0.437 0.437 0.187 Rh
0.937 0.438 0.688 Rh
0.188 0.188 0.437 Rh
0.937 0.937 0.688 Rh
0.939 0.437 0.187 Rh
0.874 0.874 0.379 Pb
```

Symmetry: R3m (160)

***

No. 7
Material: Rb2TbHgF6
Method: DFT, PBE-GGA
State: relaxed

Structure (POSCAR):
```
Rb2TbHgF6
1.0
-6.676 -0.895 0.459
0.801 -2.871 6.062
-3.374 2.390 5.350
F Rb Hg Tb
6 2 1 1
direct
0.270 0.270 0.458 F
0.730 0.729 0.999 F
0.729 0.270 0.000 F
0.730 0.730 0.542 F
0.271 0.730 0.000 F
0.270 0.271 0.001 F
0.250 0.750 0.500 Rb
0.750 0.250 0.500 Rb
0.000 0.000 0.000 Hg
0.500 0.500 0.000 Tb
```

Symmetry: P-1 (2)
Energy relative to the elements, uncorrected, kJ/mol of formula units: -2762.3

***

No. 8
Material: Ca2CeP3Rh12
Method: DFT, PBE-GGA
State: relaxed

Structure (POSCAR):
```
Ca2CeP3Rh12
1.0
-6.279 2.230 0.467
-1.996 -4.198 4.797
0.990 4.132 5.154
P Rh Ca Ce
3 12 2 1
direct
0.000 0.500 0.000 P
0.000 0.000 0.500 P
0.500 0.000 0.000 P
0.635 0.635 0.081 Rh
0.365 0.919 0.365 Rh
0.181 0.663 0.181 Rh
0.635 0.081 0.635 Rh
0.663 0.181 0.181 Rh
0.181 0.181 0.663 Rh
0.819 0.337 0.819 Rh
0.819 0.819 0.337 Rh
0.919 0.365 0.365 Rh
0.081 0.635 0.635 Rh
0.337 0.819 0.819 Rh
0.365 0.365 0.919 Rh
0.386 0.386 0.386 Ca
0.614 0.614 0.614 Ca
0.000 0.000 0.000 Ce
```

Symmetry: R-3m (166)

***

No. 9
Material: LaCoRh2
Method: DFT, PBE-GGA
State: relaxed

Structure (POSCAR):
```
LaCoRh2
1.0
3.157 -0.010 0.000
0.014 3.157 0.000
0.000 0.000 7.003
Rh Co La
2 1 1
direct
0.000 0.000 0.445 Rh
0.000 0.000 0.055 Rh
0.500 0.500 0.250 Co
0.500 0.500 0.750 La
```

Symmetry: P4/mmm (123)
Relative energy among the computed polymorphs, eV/atom: 0.2017

***

No. 10
Material: Sm6Hg3Pt
Method: DFT, PBE-GGA
State: relaxed

Structure (POSCAR):
```
Sm6Hg3Pt
1.0
8.500 -0.119 -0.121
-0.303 8.495 -0.121
-0.303 -0.310 8.490
Sm Hg Pt
12 6 2
direct
0.459 0.583 0.818 Sm
0.318 0.083 0.960 Sm
0.682 0.917 0.040 Sm
0.818 0.459 0.583 Sm
0.541 0.417 0.182 Sm
0.960 0.318 0.083 Sm
0.083 0.960 0.318 Sm
0.040 0.682 0.917 Sm
0.583 0.818 0.459 Sm
0.417 0.182 0.541 Sm
0.917 0.040 0.682 Sm
0.182 0.541 0.417 Sm
0.647 0.250 0.854 Hg
0.250 0.854 0.647 Hg
0.750 0.146 0.353 Hg
0.854 0.647 0.250 Hg
0.146 0.353 0.750 Hg
0.353 0.750 0.146 Hg
0.500 0.500 0.500 Pt
0.000 0.000 0.000 Pt
```

Symmetry: R-3c (167)

***

No. 11
Material: Tm3RuPb2
Method: DFT, PBE-GGA
State: relaxed

Structure (POSCAR):
```
Tm3RuPb2
1.0
-3.964 -0.388 1.624
-4.265 -1.241 -10.706
1.561 -12.487 0.825
Tm Ru Pb
12 4 8
direct
0.750 0.629 0.943 Tm
0.750 0.536 0.618 Tm
0.250 0.464 0.382 Tm
0.250 0.779 0.757 Tm
0.250 0.371 0.057 Tm
0.250 0.129 0.557 Tm
0.750 0.964 0.118 Tm
0.250 0.036 0.882 Tm
0.750 0.221 0.243 Tm
0.750 0.279 0.743 Tm
0.750 0.871 0.443 Tm
0.250 0.721 0.257 Tm
0.250 0.365 0.624 Ru
0.750 0.635 0.376 Ru
0.750 0.865 0.876 Ru
0.250 0.135 0.124 Ru
0.750 0.989 0.685 Pb
0.750 0.301 0.481 Pb
0.750 0.511 0.185 Pb
0.250 0.801 0.019 Pb
0.250 0.011 0.315 Pb
0.750 0.199 0.981 Pb
0.250 0.489 0.815 Pb
0.250 0.699 0.519 Pb
```

Symmetry: Pnma (62)
Relative energy among the computed polymorphs, eV/atom: 0.0000

***

No. 12
Material: HfZrNbCd
Method: DFT, PBE-GGA
State: relaxed

Structure (POSCAR):
```
HfZrNbCd
1.0
-1.151 2.145 -4.244
-2.284 -2.555 -3.492
-4.678 0.957 -1.068
Hf Zr Nb Cd
1 1 1 1
direct
0.250 0.250 0.250 Hf
0.750 0.750 0.750 Zr
0.500 0.500 0.500 Nb
0.000 0.000 0.000 Cd
```

Symmetry: F-43m (216)

***

No. 13
Material: Tb4PmPr
Method: DFT, PBE-GGA
State: relaxed

Structure (POSCAR):
```
Tb4PmPr
1.0
-0.230 -4.108 -2.978
6.893 3.873 -1.538
-6.685 -5.168 7.637
Tb Pm Pr
4 1 1
direct
0.834 0.668 0.501 Tb
0.667 0.333 0.999 Tb
0.166 0.332 0.499 Tb
0.333 0.667 0.001 Tb
0.500 0.000 0.500 Pm
0.000 0.000 0.000 Pr
```

Symmetry: C2/m (12)
Relative energy among the computed polymorphs, eV/atom: 0.0000

***

No. 14
Material: Ce5Sm
Method: DFT, PBE-GGA
State: relaxed

Structure (POSCAR):
```
Ce5Sm
1.0
4.784 0.000 0.000
0.000 4.791 0.000
0.000 -2.396 7.237
Ce Sm
5 1
direct
0.000 0.329 0.658 Ce
0.500 0.169 0.337 Ce
0.500 0.831 0.663 Ce
0.500 0.500 0.000 Ce
0.000 0.671 0.342 Ce
0.000 0.000 0.000 Sm
```

Symmetry: Cmmm (65)

***

No. 15
Material: UP4Ru6
Method: DFT, PBE-GGA
State: relaxed

Structure (POSCAR):
```
UP4Ru6
1.0
-0.935 -1.546 3.321
0.729 -6.292 -2.724
5.387 3.117 2.968
Ru P U
6 4 1
direct
0.000 0.532 0.064 Ru
0.000 0.936 0.468 Ru
0.500 0.609 0.804 Ru
0.000 0.532 0.468 Ru
0.500 0.196 0.804 Ru
0.500 0.196 0.391 Ru
0.500 0.806 0.194 P
0.000 0.333 0.667 P
0.500 0.806 0.611 P
0.500 0.389 0.194 P
0.000 0.000 0.000 U
```

Symmetry: P-6m2 (187)

***

No. 16
Material: Tb8Pm3Ho4
Method: DFT, PBE-GGA
State: relaxed

Structure (POSCAR):
```
Tb8Pm3Ho4
1.0
6.760 -0.087 -0.125
-3.247 8.595 1.181
-3.247 -1.876 8.470
Pm Tb Ho
3 8 4
direct
0.500 0.000 0.500 Pm
0.500 0.500 0.000 Pm
0.500 0.500 0.500 Pm
0.500 0.252 0.748 Tb
0.000 0.643 0.357 Tb
0.447 0.729 0.729 Tb
0.983 0.742 0.742 Tb
0.000 0.357 0.643 Tb
0.500 0.748 0.252 Tb
0.017 0.258 0.258 Tb
0.553 0.271 0.271 Tb
0.000 0.000 0.500 Ho
0.000 0.000 0.000 Ho
0.000 0.500 0.000 Ho
0.500 0.000 0.000 Ho
```

Symmetry: C2/m (12)

***

No. 17
Material: RbGePd3
Method: DFT, PBE-GGA
State: relaxed

Structure (POSCAR):
```
RbGePd3
1.0
-4.568 1.357 -1.820
-2.136 -3.955 2.412
-0.769 2.923 4.110
Ge Pd Rb
1 3 1
direct
0.500 0.500 0.500 Ge
0.000 0.000 0.500 Pd
0.000 0.500 0.000 Pd
0.500 0.000 0.000 Pd
0.000 0.000 0.000 Rb
```

Symmetry: Pm-3m (221)
Relative energy among the computed polymorphs, eV/atom: 1.4944

***

No. 18
Material: Li2B6Mo
Method: DFT, PBE-GGA
State: relaxed

Structure (POSCAR):
```
Li2B6Mo
1.0
-0.390 -3.110 0.225
2.451 -0.640 -4.603
2.759 -0.022 4.471
Li B Mo
2 6 1
direct
0.000 0.333 0.667 Li
0.000 0.667 0.333 Li
0.500 0.335 0.000 B
0.500 0.000 0.335 B
0.500 0.000 0.665 B
0.500 0.665 0.000 B
0.500 0.665 0.665 B
0.500 0.335 0.335 B
0.000 0.000 0.000 Mo
```

Symmetry: P6/mmm (191)

***

No. 19
Material: ScVSi3
Method: DFT, PBE-GGA
State: relaxed

Structure (POSCAR):
```
ScVSi3
1.0
4.855 0.000 0.000
0.000 4.855 0.000
0.000 0.000 4.855
Si V Sc
3 1 1
direct
0.000 0.000 0.500 Si
0.000 0.500 0.000 Si
0.500 0.000 0.000 Si
0.500 0.500 0.500 V
0.000 0.000 0.000 Sc
```

Symmetry: Pm-3m (221)
Energy relative to the elements, uncorrected, kJ/mol of formula units: 552.3

***

No. 20
Material: NaPuHg2
Method: DFT, PBE-GGA
State: relaxed

Structure (POSCAR):
```
NaPuHg2
1.0
3.437 0.000 0.000
1.719 2.977 0.000
1.719 0.992 10.393
Hg Pu Na
2 1 1
direct
0.251 0.251 0.247 Hg
0.749 0.749 0.753 Hg
0.500 0.500 0.500 Pu
0.000 0.000 0.000 Na
```

Symmetry: R-3m (166)

***

No. 21
Material: CsTiCo2Sb
Method: DFT, PBE-GGA
State: relaxed

Structure (POSCAR):
```
CsTiCo2Sb
1.0
4.830 0.000 0.000
0.000 6.605 0.000
0.000 0.000 4.830
Sb Co Ti Cs
1 2 1 1
direct
0.000 0.000 0.000 Sb
0.000 0.000 0.500 Co
0.500 0.000 0.000 Co
0.500 0.500 0.500 Ti
0.000 0.500 0.000 Cs
```

Symmetry: P4/mmm (123)
Energy relative to the elements, uncorrected, kJ/mol of formula units: 742.9
Relative energy among the computed polymorphs, eV/atom: 0.1441

***

No. 22
Material: BaGaH
Method: DFT, PBE-GGA
State: relaxed

Structure (POSCAR):
```
BaGaH
1.0
-1.345 -4.523 1.965
4.195 -0.417 1.911
-1.431 4.961 4.224
Ba H Ga
2 2 2
direct
0.076 0.500 0.769 Ba
0.772 0.000 0.212 Ba
0.844 0.000 0.634 H
0.485 0.500 0.177 H
0.491 0.000 0.612 Ga
0.334 0.500 0.373 Ga
```

Symmetry: Pm (6)
Relative energy among the computed polymorphs, eV/atom: 0.0815

***

| no. | uncorrected energy (eV per cell) |
| --- | --- |
| 1 | -9.066 |
| 2 | -39.235 |
| 3 | -196.956 |
| 4 | -8.086 |
| 5 | -30.869 |
| 6 | -83.027 |
| 7 | -46.725 |
| 8 | -120.500 |
| 9 | -26.949 |
| 10 | -78.179 |
| 11 | -130.436 |
| 12 | -29.270 |
| 13 | -27.949 |
| 14 | -33.948 |
| 15 | -96.130 |
| 16 | -63.762 |
| 17 | -13.645 |
| 18 | -57.025 |
| 19 | -25.995 |
| 20 | -16.479 |
| 21 | -19.383 |
| 22 | -18.906 |